Here is Y3Cd2In after structural relaxation from the Alexandria database. Energies are from PBE-GGA.

The structure belongs to space group P4/mmm (No. 123); the cell edges are 3.7557, 3.7557 and 11.2706 Å and the angles 90.00°, 90.00° and 90.00°. The inequivalent atoms are Y at (0.0000, 0.0000, 0.0000), Y at (0.0000, 0.0000, 0.3307), Cd at (0.5000, 0.5000, 0.1633) and In at (0.5000, 0.5000, 0.5000).

The calculation puts the density at 6.33 Mg/m³. The calculation puts the polymorph energy (0 for the lowest one) at 4.8 meV per atom. Its formation energy is -0.4082 eV/atom. For the spin magnetization, the calculation gives 0.0 μB/f.u. The calculation puts the calculated total energy at -0.3235 Ry/atom. Its crystal system is tetragonal.